The following is a PBE calculation of TbDy3Pd2 after structural relaxation, from the Alexandria database.

a b c (Å): 8.4689 8.4689 8.4689
angles (deg): 131.67 71.64 130.55
Fractional positions:
Tb: 0.0000 0.0000 0.0000
Tb: 0.5000 0.5000 0.0000
Dy: 0.0155 0.2500 0.7655
Dy: 0.2500 0.7500 0.5000
Dy: 0.4845 0.2500 0.2345
Dy: 0.5155 0.7500 0.7655
Dy: 0.7500 0.2500 0.5000
Dy: 0.9845 0.7500 0.2345
Pd: 0.1402 0.7090 0.8492
Pd: 0.3598 0.2090 0.5688
Pd: 0.6402 0.7910 0.4312
Pd: 0.8598 0.2910 0.1508

## Properties
SG = Ibam, No. 72
E_form = -498 meV/atom
ΔE to the lowest computed polymorph = 94 meV/atom
Total magnetic moment = 0.000 Bohr magnetons per cell


The following is a PBE calculation of BeSi2Ir after structural relaxation, from the Alexandria database.

a b c (Å): 2.8065 2.8065 7.8007
angles (deg): 90.00 90.00 119.57
Fractional positions:
Be: 0.0000 0.0000 0.0000
Si: 0.0000 0.0000 0.4887
Si: 0.5000 0.5000 0.7621
Ir: 0.5000 0.5000 0.2315

## Properties
SG = Cmm2, No. 35
Total magnetic moment = 0.000 Bohr magnetons per cell
Formation energy without anion corrections = 70 kJ/mol of formula units


The following is a PBE calculation of NdEr5Hg2 after structural relaxation, from the Alexandria database.

a b c (Å): 8.1964 8.1964 8.1964
angles (deg): 153.77 104.08 81.93
Fractional positions:
Nd: 0.0000 0.0000 0.0000
Er: 0.1390 0.3633 0.7756
Er: 0.4123 0.6367 0.7756
Er: 0.5000 0.0000 0.5000
Er: 0.5877 0.3633 0.2244
Er: 0.8610 0.6367 0.2244
Hg: 0.2415 0.7415 0.5000
Hg: 0.7585 0.2585 0.5000

## Properties
SG = Immm, No. 71
E_form = -171 meV/atom
Total magnetic moment = 0.000 Bohr magnetons per cell


The following is a PBE calculation of CaSc2SiN after structural relaxation, from the Alexandria database.

a b c (Å): 4.3894 4.3894 4.6764
angles (deg): 90.00 90.00 90.00
Fractional positions:
Ca: 0.0000 0.0000 0.0000
Sc: 0.0000 0.5000 0.5000
Sc: 0.5000 0.0000 0.5000
Si: 0.5000 0.5000 0.0000
N: 0.0000 0.0000 0.5000

## Properties
SG = P4/mmm, No. 123
Total magnetic moment = 0.000 Bohr magnetons per cell
Formation energy without anion corrections = -459 kJ/mol of formula units


Number 1: energy -5.30 eV/atom. Number 2: energy -5.68 eV/atom. Number 3: energy -3.69 eV/atom. Number 4: energy -6.63 eV/atom.